1.
Compound: Tl3Hg5Bi
Source: the Alexandria database
Functional: PBE-GGA
Structure: optimized geometry

Cell lengths 9.7404, 9.7404, 6.5180 Å; angles 90.00, 90.00, 120.00 degrees
Space group P6_3/mcm (No. 193)
One atom of each set of equivalent atoms:
Tl: 0.0000 0.3568 0.2500 x6
Hg: 0.0000 0.3075 0.7500 x6
Hg: 0.3333 0.6667 0.0000 x4
Bi: 0.0000 0.0000 0.0000 x2

Output
- Energy relative to the elements: -4 meV/atom
- V: 267.77 Å³/f.u.
- Calculated total energy: -1.391 eV/atom

2.
Compound: Tl5Hg3Bi2
Source: the Alexandria database
Functional: PBE-GGA
Structure: optimized geometry

Cell lengths 11.7390, 16.1199, 6.5293 Å; angles 90.00, 91.42, 90.00 degrees
Space group C2/c (No. 15)
One atom of each set of equivalent atoms:
Tl: 0.0000 0.0562 0.2500 x4
Tl: 0.1259 0.3390 0.9129 x8
Tl: 0.2377 0.4426 0.4950 x8
Hg: 0.0000 0.4656 0.2500 x4
Hg: 0.1196 0.1387 0.8706 x8
Bi: 0.1179 0.2471 0.4075 x8

Output
- Energy relative to the elements: -3 meV/atom
- V: 308.79 Å³/f.u.
- Calculated total energy: -2.053 eV/atom

3.
Compound: Tl3Hg4Bi2
Source: the Alexandria database
Functional: PBE-GGA
Structure: optimized geometry

Cell lengths 5.3805, 5.5511, 10.3916 Å; angles 81.72, 88.83, 61.18 degrees
Space group P-1 (No. 2)
One atom of each set of equivalent atoms:
Tl: 0.0000 0.0000 0.0000 x1
Tl: 0.3223 0.3522 0.7748 x2
Hg: 0.3412 0.3177 0.1163 x2
Hg: 0.3436 0.3089 0.4359 x2
Bi: 0.0207 0.9580 0.3507 x2

Output
- Energy relative to the elements: 8 meV/atom
- V: 268.68 Å³/f.u.
- Calculated total energy: -1.778 eV/atom

- Which of these has the highest V?
  Tl5Hg3Bi2

- Among the records above, which one has the highest V?
  Tl5Hg3Bi2

- Among the records above, which one has the highest energy relative to the elements?
  Tl3Hg4Bi2

What did the first record say?
Compound: Tl3Hg5Bi
Source: the Alexandria database
Functional: PBE-GGA
Structure: optimized geometry

Cell lengths 9.7404, 9.7404, 6.5180 Å; angles 90.00, 90.00, 120.00 degrees
Space group P6_3/mcm (No. 193)
One atom of each set of equivalent atoms:
Tl: 0.0000 0.3568 0.2500 x6
Hg: 0.0000 0.3075 0.7500 x6
Hg: 0.3333 0.6667 0.0000 x4
Bi: 0.0000 0.0000 0.0000 x2

Output
- Energy relative to the elements: -4 meV/atom
- V: 267.77 Å³/f.u.
- Calculated total energy: -1.391 eV/atom